Material: NaYO
Method: DFT, PBE-GGA
State: relaxed

## Properties
Uncorrected formation energy (eV per atom): -1.746
Size of the total moment (μB/cell): 0.00

Cell: 5.904 3.525 14.354 Å, 90.00 90.00 90.00°
Space group Amm2 (No. 38)
Unique sites:
Na (0.000, 0.000, 0.000) x2
Na (0.500, 0.000, 0.123) x2
Y (0.000, 0.000, 0.764) x2
Y (0.500, 0.000, 0.375) x2
O (0.259, 0.000, 0.868) x4